Compound: Zr2TcCl2
Source: Alexandria via LeMat-Bulk
Functional: GGA-PBE
Structure: relaxed

abc: 3.790 3.790 7.378
angles: 75.12 75.12 90.00
Fractional positions:
1 Tc 0.000 0.000 0.000
2 Zr 0.388 0.388 0.223
3 Zr 0.612 0.612 0.777
4 Cl 0.750 0.250 0.500
5 Cl 0.250 0.750 0.500

Output
- excess energy over the best structure of this formula in the dataset (eV per atom) = 0.0000
- Fermi-level density of states (states/eV/cell) = 2.99
- uncorrected formation energy (eV/atom) = -0.281

Compound: ZrTc2Cl
Source: Alexandria via LeMat-Bulk
Functional: GGA-PBE
Structure: relaxed

abc: 5.218 5.218 5.218
angles: 136.63 136.63 63.00
Fractional positions:
1 Cl 0.750 0.250 0.500
2 Tc 0.000 0.000 0.000
3 Tc 0.250 0.750 0.500
4 Zr 0.500 0.500 0.000

Output
- excess energy over the best structure of this formula in the dataset (eV per atom) = 0.7978
- Fermi-level density of states (states/eV/cell) = 4.95
- uncorrected formation energy (eV/atom) = 0.579

Compound: Zr2TcCl
Source: Alexandria via LeMat-Bulk
Functional: GGA-PBE
Structure: relaxed

abc: 3.362 3.362 8.033
angles: 90.00 90.00 90.00
Fractional positions:
1 Cl 0.000 0.000 0.429
2 Tc 0.500 0.500 0.843
3 Zr 0.000 0.000 0.993
4 Zr 0.500 0.500 0.235

Output
- excess energy over the best structure of this formula in the dataset (eV per atom) = 0.6014
- Fermi-level density of states (states/eV/cell) = 4.54
- uncorrected formation energy (eV/atom) = -0.077

Compound: ZrTc2Cl
Source: Alexandria via LeMat-Bulk
Functional: GGA-PBE
Structure: relaxed

abc: 2.966 2.966 8.614
angles: 90.00 90.00 114.67
Fractional positions:
1 Cl 0.500 0.500 0.750
2 Tc 0.000 0.000 0.999
3 Tc 0.000 0.000 0.501
4 Zr 0.500 0.500 0.250

Output
- excess energy over the best structure of this formula in the dataset (eV per atom) = 0.5711
- Fermi-level density of states (states/eV/cell) = 4.46
- uncorrected formation energy (eV/atom) = 0.352

Compound: ZrTcCl
Source: Alexandria via LeMat-Bulk
Functional: GGA-PBE
Structure: relaxed

abc: 4.500 4.500 4.500
angles: 60.00 60.00 60.00
Fractional positions:
1 Cl 0.000 0.000 0.000
2 Tc 0.500 0.500 0.500
3 Zr 0.750 0.750 0.750

Output
- excess energy over the best structure of this formula in the dataset (eV per atom) = 0.9923
- Fermi-level density of states (states/eV/cell) = 2.62
- uncorrected formation energy (eV/atom) = 0.705

Compound: ZrTcCl
Source: Alexandria via LeMat-Bulk
Functional: GGA-PBE
Structure: relaxed

abc: 4.322 4.322 4.322
angles: 60.00 60.00 60.00
Fractional positions:
1 Cl 0.500 0.500 0.500
2 Tc 0.750 0.750 0.750
3 Zr 0.000 0.000 0.000

Output
- excess energy over the best structure of this formula in the dataset (eV per atom) = 0.7153
- Fermi-level density of states (states/eV/cell) = 2.49
- uncorrected formation energy (eV/atom) = 0.428